An optimized crystal structure of RbReCl6. Source: Alexandria, functional PBE.

Cell lengths 6.8734, 6.8734, 7.4162 Å; angles 62.39, 62.39, 60.00 degrees
Each line ends with the local moment (μB).
Fractional positions:
Rb1 0.5000 0.5000 0.5000  0.00
Re1 0.0000 0.0000 0.0000  1.48
Cl1 0.9118 0.9118 0.7851  0.04
Cl2 0.3913 0.9118 0.7851  0.04
Cl3 0.0882 0.6087 0.2149  0.04
Cl4 0.6087 0.0882 0.2149  0.04
Cl5 0.0882 0.0882 0.2149  0.04
Cl6 0.9118 0.3913 0.7851  0.04

Properties
M_tot	2.00	μB per formula unit
raw formation energy	-0.9575	eV per atom
energy relative to the lowest polymorph listed for this composition	0.14	eV/f.u.
volume	256	Å³/cell
space-group type	R-3m



An optimized crystal structure of RbReCl3. Source: Alexandria, functional PBE.

Cell lengths 3.6862, 9.2962, 8.7597 Å; angles 59.10, 90.12, 92.94 degrees
Fractional positions:
Rb1 0.6985 0.0924 0.3817
Rb2 0.2573 0.7535 0.0399
Re1 0.7636 0.5148 0.6971
Re2 0.1925 0.3311 0.7244
Cl1 0.7516 0.6953 0.3881
Cl2 0.7899 0.0753 0.7623
Cl3 0.1662 0.7706 0.6592
Cl4 0.2044 0.1506 0.0334
Cl5 0.7267 0.4646 0.9885
Cl6 0.2294 0.3813 0.4331

Properties
M_tot	0.00	μB per formula unit
raw formation energy	-1.0039	eV per atom
energy relative to the lowest polymorph listed for this composition	0.00	eV/f.u.
volume	257	Å³/cell
space-group type	P-1